Compound: RbBeVF6
Source: Alexandria
Functional: PBE with a Hubbard U
Structure: relaxed

Output
Total energy: -99.41 eV for the cell shown

The structure in CIF format:
```
data_RbBeVF6
_chemical_formula_sum 'Rb2 Be2 V2 F12'
_space_group_name_H-M_alt 'C 1 2 1'
_space_group_IT_number 5
_space_group_name_Hall 'C 2y'
_cell_length_a 5.162
_cell_length_b 8.596
_cell_length_c 6.163
_cell_angle_alpha 90.00
_cell_angle_beta 91.45
_cell_angle_gamma 90.00
loop_
_atom_site_label
_atom_site_fract_x
_atom_site_fract_y
_atom_site_fract_z
Rb1 0.000 0.000 0.000
Be1 0.000 0.321 0.500
V1 0.000 0.662 0.500
F1 0.116 0.476 0.668
F2 0.168 0.188 0.660
F3 0.209 0.804 0.677
```